PaInO4 | PBE | relaxed

The structure in POSCAR format:
```
PaInO4
1.0
-2.666 2.666 5.375
2.666 -2.666 5.375
2.666 2.666 -5.375
Pa In O
2 2 8
Direct
0.375 0.625 0.750
0.625 0.375 0.250
0.125 0.875 0.250
0.875 0.125 0.750
0.000 0.255 0.255
0.000 0.745 0.745
0.255 0.000 0.755
0.255 0.500 0.255
0.500 0.255 0.755
0.500 0.745 0.245
0.745 0.000 0.245
0.745 0.500 0.745
```

Summary:
The calculation puts the formation energy without anion corrections at -16.08 eV/f.u.